A plane-wave DFT calculation with PBE with a Hubbard U was carried out for NbCrI2F after structural relaxation.

The value obtained for the raw total energy is -4.797 eV/atom. The value obtained for the energy relative to the lowest polymorph listed for this composition is 0 meV per atom. The value obtained for the density of states at the Fermi level is 0.403 states/eV per atom. The calculation puts the spin magnetization at 7.93 μB per formula unit.

It has space group P4/mmm (No. 123), with a = 5.7403 Å, b = 5.7403 Å, c = 3.8899 Å, α = 90.00°, β = 90.00° and γ = 90.00°. The distinct sites, in fractional coordinates, are Nb at (0.0000, 0.0000, 0.0000), Cr at (0.5000, 0.5000, 0.5000), I at (0.0000, 0.5000, 0.5000) and F at (0.5000, 0.5000, 0.0000).